[1]
Compound: NaH3Os
Source: the Alexandria database
Functional: PBE-GGA
Structure: relaxed

The structure in CIF format:
```
data_NaH3Os
_chemical_formula_sum 'Na1 H3 Os1'
_space_group_name_H-M_alt 'P m -3 m'
_space_group_IT_number 221
_space_group_name_Hall '-P 4 2 3'
_cell_length_a 3.5347
_cell_length_b 3.5347
_cell_length_c 3.5347
_cell_angle_alpha 90.00
_cell_angle_beta 90.00
_cell_angle_gamma 90.00
loop_
_atom_site_label
_atom_site_fract_x
_atom_site_fract_y
_atom_site_fract_z
Na1 0.0000 0.0000 0.0000
H1 0.0000 0.5000 0.5000
Os1 0.5000 0.5000 0.5000
```

Final energy in eV per atom: -4.39
Excess energy over the best structure of this formula in the dataset in meV per atom: 0.0

=====

[2]
Compound: CeNd3O
Source: the Alexandria database
Functional: PBE-GGA
Structure: relaxed

The structure in CIF format:
```
data_CeNd3O
_chemical_formula_sum 'Ce1 Nd3 O1'
_space_group_name_H-M_alt 'P m -3 m'
_space_group_IT_number 221
_space_group_name_Hall '-P 4 2 3'
_cell_length_a 5.0861
_cell_length_b 5.0861
_cell_length_c 5.0861
_cell_angle_alpha 90.00
_cell_angle_beta 90.00
_cell_angle_gamma 90.00
loop_
_atom_site_label
_atom_site_fract_x
_atom_site_fract_y
_atom_site_fract_z
Ce1 0.0000 0.0000 0.0000
Nd1 0.0000 0.5000 0.5000
O1 0.5000 0.5000 0.5000
```

Final energy in eV per atom: -6.04
ΔE_f (raw) in kcal/mol of atoms: -23.0

=====

[3]
Compound: CoRe2Ni
Source: the Alexandria database
Functional: PBE-GGA
Structure: relaxed

The structure in CIF format:
```
data_CoRe2Ni
_chemical_formula_sum 'Co4 Re8 Ni4'
_space_group_name_H-M_alt 'F m -3 m'
_space_group_IT_number 225
_space_group_name_Hall '-F 4 2 3'
_cell_length_a 5.9185
_cell_length_b 5.9185
_cell_length_c 5.9185
_cell_angle_alpha 90.00
_cell_angle_beta 90.00
_cell_angle_gamma 90.00
loop_
_atom_site_label
_atom_site_fract_x
_atom_site_fract_y
_atom_site_fract_z
Co1 0.0000 0.0000 0.0000
Re1 0.2500 0.2500 0.2500
Ni1 0.0000 0.0000 0.5000
```

Energy of formation from the pure elements in eV/atom: 0.33
Final energy in eV per atom: -9.12
Excess energy over the best structure of this formula in the dataset in meV per atom: 372.6